1.
Density functional theory data (PBE) for crystalline Tl2HgBr3F at its relaxed geometry.

abc: 4.6382 5.6016 17.2292
angles: 90.00 90.00 90.00
Space group Immm (No. 71)
Asymmetric unit:
Tl 0.0000 0.0000 0.1440
Hg 0.0000 0.0000 0.5000
Br 0.0000 0.0000 0.3364
Br 0.0000 0.5000 0.5000
F 0.0000 0.5000 0.0000

## Properties
- uncorrected formation energy (eV per atom) = -0.8796
- calculated volume (A^3/atom) = 31.97
- crystal system = orthorhombic


2.
Density functional theory data (PBE) for crystalline GaPd3Au at its relaxed geometry.

abc: 4.8448 4.8666 7.3607
angles: 78.39 76.30 71.54
Space group P-1 (No. 2)
Asymmetric unit:
Ga 0.1031 0.2818 0.2483
Pd 0.0300 0.7721 0.3855
Pd 0.1967 0.6966 0.9945
Pd 0.4644 0.7288 0.6013
Au 0.4118 0.1811 0.8187

## Properties
- ΔE_f (eV per atom) = -0.37
- calculated volume (A^3/atom) = 15.84
- D(E_F) (states/eV per cell) = 5.0
- energy above the lowest structure with this stoichiometry (meV/atom) = 0
- crystal system = triclinic


3.
Density functional theory data (PBE) for crystalline Na2SnOsPt at its relaxed geometry.

abc: 5.1344 5.1344 4.8269
angles: 90.00 90.00 90.00
Space group P4/mmm (No. 123)
Asymmetric unit:
Na 0.0000 0.5000 0.0000
Sn 0.0000 0.0000 0.5000
Os 0.5000 0.5000 0.5000
Pt 0.5000 0.5000 0.0000

## Properties
- ΔE_f (eV per atom) = 0.85
- calculated volume (A^3/atom) = 25.45
- D(E_F) (states/eV per cell) = 5.4
- crystal system = tetragonal


Look up the calculated volume of the third one.
25.45 A^3/atom